Here is a geometry-optimized AcGdHoLu structure from the Alexandria database. Energies are from PBE.

Cell lengths 5.796, 5.796, 5.796 Å; angles 60.00, 60.00, 60.00 degrees
Each line ends with the local moment (μB).
Positions (direct):
Gd  0.000  0.000  0.000  7.20
Ac  0.500  0.500  0.500  -0.02
Lu  0.250  0.250  0.250  0.03
Ho  0.750  0.750  0.750  0.07

Computed properties:
space-group type: No. 216
E_tot: -6.719 eV/atom